(1)
The following is a DFT calculation (PBE) of InBi2Br8 after structural relaxation.

Calculated values
- Theoretical density: 5.18 g cm⁻³
- Density of states at the Fermi level: 1.348 states/eV/cell
- Formation energy without anion corrections: -0.570 eV per atom
- Crystal system: monoclinic
- E_tot: -2.74 eV per atom

Cell lengths 5.6964, 8.5122, 8.5122 Å; angles 114.42, 90.09, 90.09 degrees
Positions (direct):
Br (0.5000, 0.7534, 0.2466)
Bi (0.0000, 0.2940, 0.7060)
Br (0.9986, 0.6791, 0.9426)
Bi (0.0000, 0.7060, 0.2940)
Br (0.0014, 0.0574, 0.3209)
Br (0.9986, 0.9426, 0.6791)
Br (0.5000, 0.2466, 0.7534)
Br (0.2538, 0.5006, 0.5006)
Br (0.7462, 0.4994, 0.4994)
Br (0.0014, 0.3209, 0.0574)
In (0.5000, 0.0000, 0.0000)

---

(2)
The following is a DFT calculation (PBE) of Pm8CoPt3Br4 after structural relaxation.

Calculated values
- Theoretical density: 7.67 g cm⁻³
- Density of states at the Fermi level: 10.132 states/eV/cell
- Formation energy without anion corrections: -1.126 eV per atom
- Crystal system: trigonal
- E_tot: -5.50 eV per atom

Cell lengths 8.3045, 9.0715, 8.3041 Å; angles 117.26, 120.00, 90.00 degrees
Positions (direct):
Pm (0.2671, 0.3012, 0.5341)
Pm (0.7756, 0.3056, 0.5513)
Br (0.5000, 0.0000, 0.0000)
Pm (0.2541, 0.3055, 0.0298)
Br (0.5000, 0.0000, 0.5000)
Pm (0.2244, 0.6944, 0.4487)
Pm (0.7329, 0.6988, 0.4659)
Co (0.0000, 0.5000, 0.0000)
Pm (0.2244, 0.6945, 0.9702)
Pm (0.7459, 0.6945, 0.9702)
Pt (0.5000, 0.5000, 0.0000)
Br (0.0000, 0.0000, 0.0000)
Pm (0.7756, 0.3055, 0.0298)
Pt (0.5000, 0.5000, 0.5000)
Pt (0.0000, 0.5000, 0.5000)
Br (0.0000, 0.0000, 0.5000)

---

(3)
The following is a DFT calculation (PBE) of RbBeOs2I after structural relaxation.

Calculated values
- Theoretical density: 9.06 g cm⁻³
- Density of states at the Fermi level: 7.181 states/eV/cell
- Formation energy without anion corrections: 1.470 eV per atom
- Crystal system: tetragonal
- E_tot: -4.27 eV per atom

Cell lengths 4.3711, 5.7733, 4.3711 Å; angles 90.00, 90.00, 90.00 degrees
Positions (direct):
Rb (0.0000, 0.5000, 0.0000)
Os (0.0000, 0.0000, 0.5000)
Be (0.0000, 0.0000, 0.0000)
I (0.5000, 0.5000, 0.5000)
Os (0.5000, 0.0000, 0.0000)

---

(4)
The following is a DFT calculation (PBE) of Sm2EuBi after structural relaxation.

Calculated values
- Theoretical density: 8.79 g cm⁻³
- Formation enthalpy at 0 K: -0.39 eV per atom
- Density of states at the Fermi level: 3.704 states/eV/cell
- Crystal system: tetragonal
- E_tot: -6.28 eV per atom

Cell lengths 4.9505, 5.0249, 5.0249 Å; angles 90.00, 90.00, 90.00 degrees
Last column: magnetic moment on the atom in μB.
Positions (direct):
Sm (0.0000, 0.5000, 0.0000)  0.16
Sm (0.0000, 0.0000, 0.5000)  0.16
Bi (0.5000, 0.0000, 0.0000)  -0.03
Eu (0.5000, 0.5000, 0.5000)  6.98

---

(5)
The following is a DFT calculation (PBE) of Zn2NiOs after structural relaxation.

Calculated values
- Theoretical density: 11.81 g cm⁻³
- Formation enthalpy at 0 K: 0.12 eV per atom
- Density of states at the Fermi level: 4.249 states/eV/cell
- Crystal system: orthorhombic
- E_tot: -4.77 eV per atom

Cell lengths 4.1184, 2.6107, 5.1318 Å; angles 75.33, 90.00, 90.00 degrees
Positions (direct):
Ni (0.0000, 0.3059, 0.5118)
Zn (0.0000, 0.0577, 0.0113)
Zn (0.5000, 0.4375, 0.2485)
Os (0.5000, 0.6989, 0.7284)

---

(6)
The following is a DFT calculation (PBE) of Pu2ScFe9 after structural relaxation.

Calculated values
- Theoretical density: 10.20 g cm⁻³
- Formation enthalpy at 0 K: 0.08 eV per atom
- Density of states at the Fermi level: 26.657 states/eV/cell
- Crystal system: trigonal
- E_tot: -9.19 eV per atom

Cell lengths 4.8431, 4.8431, 8.7590 Å; angles 73.95, 73.95, 60.00 degrees
Last column: magnetic moment on the atom in μB.
Positions (direct):
Fe (0.3336, 0.3336, 0.9993)  2.15
Fe (0.6664, 0.6664, 0.0007)  2.15
Pu (0.8531, 0.8531, 0.4408)  4.45
Fe (0.5799, 0.0803, 0.7599)  1.62
Fe (0.0803, 0.5799, 0.7599)  1.62
Fe (0.5000, 0.5000, 0.5000)  -1.34
Fe (0.4201, 0.9197, 0.2401)  1.62
Fe (0.5799, 0.5799, 0.7599)  1.62
Sc (0.0000, 0.0000, 0.0000)  -0.22
Fe (0.9197, 0.4201, 0.2401)  1.62
Pu (0.1469, 0.1469, 0.5592)  4.45
Fe (0.4201, 0.4201, 0.2401)  1.62

---

(7)
The following is a DFT calculation (PBE) of CuSiH2O4 after structural relaxation.

Calculated values
- Theoretical density: 3.20 g cm⁻³
- Density of states at the Fermi level: 1.517 states/eV/cell
- Crystal system: trigonal
- E_tot: -6.04 eV per atom

Cell lengths 8.9046, 8.9046, 8.9046 Å; angles 111.82, 111.82, 111.82 degrees
Last column: magnetic moment on the atom in μB.
Positions (direct):
O (0.0493, 0.6761, 0.6246)  0.14
H (0.6871, 0.4142, 0.5111)  0.00
H (0.5189, 0.7516, 0.8032)  0.00
O (0.3637, 0.0442, 0.7832)  0.15
O (0.3239, 0.3754, 0.9507)  0.14
O (0.2168, 0.6363, 0.9558)  0.15
Cu (0.6625, 0.0645, 0.4723)  0.66
H (0.3129, 0.5858, 0.4889)  0.00
O (0.6363, 0.9558, 0.2168)  0.15
Si (0.7824, 0.1747, 0.9175)  0.01
O (0.0115, 0.2638, 0.9753)  0.01
Cu (0.0645, 0.4723, 0.6625)  0.66
Si (0.8253, 0.0825, 0.2176)  0.01
H (0.4889, 0.3129, 0.5858)  0.00
H (0.1968, 0.4811, 0.2484)  0.00
O (0.2976, 0.6094, 0.3835)  0.00
Cu (0.9355, 0.5277, 0.3375)  0.66
O (0.6094, 0.3835, 0.2976)  0.00
O (0.9885, 0.7362, 0.0247)  0.01
O (0.9507, 0.3239, 0.3754)  0.14
Cu (0.5277, 0.3375, 0.9355)  0.66
O (0.3906, 0.6165, 0.7024)  0.00
Si (0.9175, 0.7824, 0.1747)  0.01
O (0.7832, 0.3637, 0.0442)  0.15
O (0.3835, 0.2976, 0.6094)  0.00
O (0.3754, 0.9507, 0.3239)  0.14
H (0.5111, 0.6871, 0.4142)  0.00
H (0.4142, 0.5111, 0.6871)  0.00
Si (0.2176, 0.8253, 0.0825)  0.01
O (0.7362, 0.0247, 0.9885)  0.01
H (0.2484, 0.1968, 0.4811)  0.00
O (0.0247, 0.9885, 0.7362)  0.01
O (0.9558, 0.2168, 0.6363)  0.15
H (0.7516, 0.8032, 0.5189)  0.00
H (0.4811, 0.2484, 0.1968)  0.00
O (0.0442, 0.7832, 0.3637)  0.15
Si (0.1747, 0.9175, 0.7824)  0.01
Cu (0.3375, 0.9355, 0.5277)  0.66
O (0.6761, 0.6246, 0.0493)  0.14
Cu (0.4723, 0.6625, 0.0645)  0.66
Si (0.0825, 0.2176, 0.8253)  0.01
H (0.5858, 0.4889, 0.3129)  0.00
O (0.6165, 0.7024, 0.3906)  0.00
O (0.9753, 0.0115, 0.2638)  0.01
O (0.6246, 0.0493, 0.6761)  0.14
H (0.8032, 0.5189, 0.7516)  0.00
O (0.7024, 0.3906, 0.6165)  0.00
O (0.2638, 0.9753, 0.0115)  0.01

---

(8)
The following is a DFT calculation (PBE) of La4NdGe2 after structural relaxation.

Calculated values
- Theoretical density: 6.57 g cm⁻³
- Formation enthalpy at 0 K: -0.49 eV per atom
- Density of states at the Fermi level: 18.359 states/eV/cell
- Crystal system: monoclinic
- E_tot: -5.30 eV per atom

Cell lengths 6.5415, 8.3812, 8.3543 Å; angles 111.05, 90.00, 90.00 degrees
Positions (direct):
Nd (0.2500, 0.8547, 0.9865)
Nd (0.7500, 0.1453, 0.0135)
La (0.5106, 0.4125, 0.7616)
Ge (0.2500, 0.2414, 0.9928)
Ge (0.7500, 0.7586, 0.0072)
La (0.0106, 0.5875, 0.2384)
Ge (0.2500, 0.6351, 0.6002)
La (0.7500, 0.0055, 0.3956)
La (0.2500, 0.9945, 0.6044)
La (0.4894, 0.5875, 0.2384)
La (0.9894, 0.4125, 0.7616)
Ge (0.7500, 0.3649, 0.3998)
La (0.7500, 0.7645, 0.6472)
La (0.2500, 0.2355, 0.3528)

---

(9)
The following is a DFT calculation (PBE) of RbTiAlZn2 after structural relaxation.

Calculated values
- Theoretical density: 3.73 g cm⁻³
- Formation enthalpy at 0 K: 0.65 eV per atom
- Density of states at the Fermi level: 2.788 states/eV/cell
- Crystal system: tetragonal
- E_tot: -2.38 eV per atom

Cell lengths 5.0313, 5.1240, 5.0313 Å; angles 90.00, 90.00, 90.00 degrees
Positions (direct):
Zn (0.5000, 0.0000, 0.0000)
Rb (0.5000, 0.5000, 0.5000)
Al (0.0000, 0.0000, 0.0000)
Ti (0.0000, 0.5000, 0.0000)
Zn (0.0000, 0.0000, 0.5000)

---

(10)
The following is a DFT calculation (PBE) of PdI2N2 after structural relaxation.

Calculated values
- Theoretical density: 5.09 g cm⁻³
- Density of states at the Fermi level: 3.535 states/eV/cell
- Formation energy without anion corrections: 1.696 eV per atom
- Crystal system: tetragonal
- E_tot: -3.29 eV per atom

Cell lengths 3.9603, 3.9603, 8.0817 Å; angles 90.00, 90.00, 90.00 degrees
Positions (direct):
Pd (0.5000, 0.5000, 0.5000)
I (0.0000, 0.0000, 0.0000)
N (0.5000, 0.0000, 0.0000)
N (0.0000, 0.5000, 0.0000)
I (0.0000, 0.0000, 0.5000)

---

(11)
The following is a DFT calculation (PBE) of Pm2Sm5 after structural relaxation.

Calculated values
- Theoretical density: 7.29 g cm⁻³
- Formation enthalpy at 0 K: 0.11 eV per atom
- Density of states at the Fermi level: 14.744 states/eV/cell
- Crystal system: monoclinic
- E_tot: -4.62 eV per atom

Cell lengths 5.6645, 5.6645, 8.7476 Å; angles 97.84, 103.41, 115.54 degrees
Positions (direct):
Sm (0.0000, 0.5000, 0.0000)
Sm (0.8581, 0.9286, 0.2867)
Sm (0.1419, 0.0714, 0.7133)
Sm (0.2858, 0.6421, 0.4279)
Pm (0.5708, 0.7862, 0.8570)
Sm (0.7142, 0.3579, 0.5721)
Pm (0.4292, 0.2138, 0.1430)

---

(12)
The following is a DFT calculation (PBE) of Tm6TeC2 after structural relaxation.

Calculated values
- Theoretical density: 8.85 g cm⁻³
- Density of states at the Fermi level: 5.169 states/eV/cell
- Formation energy without anion corrections: -0.332 eV per atom
- Crystal system: monoclinic
- E_tot: -5.71 eV per atom

Cell lengths 4.8055, 6.8355, 7.6974 Å; angles 71.50, 71.81, 69.42 degrees
Positions (direct):
Tm (0.3349, 0.7492, 0.5809)
Tm (0.3130, 0.3138, 0.0601)
C (0.8172, 0.2715, 0.0940)
Tm (0.6651, 0.2508, 0.4191)
C (0.1828, 0.7285, 0.9060)
Tm (0.6870, 0.6862, 0.9399)
Tm (0.9612, 0.8811, 0.1965)
Te (0.0000, 0.5000, 0.5000)
Tm (0.0388, 0.1189, 0.8035)